(1)
Compound: CuAsPtBr2
Source: Alexandria
Functional: GGA-PBEsol
Structure: optimized geometry

abc: 5.187 5.187 4.666
angles: 90.00 90.00 90.00
Space group P4/mmm (No. 123)
One atom of each set of equivalent atoms:
Cu  0.000  0.000  0.000 x1
As  0.500  0.500  0.000 x1
Pt  0.500  0.500  0.500 x1
Br  0.000  0.500  0.500 x2

**Raw formation energy**: 646 meV per atom


(2)
Compound: K2LiRh
Source: Alexandria
Functional: GGA-PBEsol
Structure: optimized geometry

abc: 7.287 7.287 7.287
angles: 90.00 90.00 90.00
Space group F-43m (No. 216)
One atom of each set of equivalent atoms:
K  0.000  0.000  0.000 x4
K  0.250  0.250  0.250 x4
Li  0.250  0.250  0.750 x4
Rh  0.000  0.000  0.500 x4

**ΔH_f (0 K)**: 0.58 eV/atom


(3)
Compound: Cs3SbH
Source: Alexandria
Functional: GGA-PBEsol
Structure: optimized geometry

abc: 5.840 5.840 5.840
angles: 90.00 90.00 90.00
Space group Pm-3m (No. 221)
One atom of each set of equivalent atoms:
Cs  0.000  0.000  0.500 x3
Sb  0.500  0.500  0.500 x1
H  0.000  0.000  0.000 x1

**VASP energy**: -11.84 eV/f.u.


(4)
Compound: SrCd2Sb2
Source: Alexandria
Functional: GGA-PBEsol
Structure: optimized geometry

abc: 4.7006 4.7006 7.7297
angles: 90.00 90.00 120.00
Space group P-3m1 (No. 164)
One atom of each set of equivalent atoms:
Sr  0.0000  0.0000  0.0000 x1
Cd  0.3333  0.6667  0.6319 x2
Sb  0.3333  0.6667  0.2491 x2

**Raw formation energy**: -505 meV per atom


(5)
Compound: KLiAl
Source: Alexandria
Functional: GGA-PBEsol
Structure: optimized geometry

abc: 3.015 4.535 12.142
angles: 90.00 90.00 90.00
Space group Imm2 (No. 44)
One atom of each set of equivalent atoms:
K  0.000  0.000  0.000 x2
Li  0.000  0.000  0.733 x2
Al  0.000  0.000  0.290 x2

**ΔH_f (0 K)**: 0.20 eV/atom


(6)
Compound: CoRhI2O
Source: Alexandria
Functional: GGA-PBEsol
Structure: optimized geometry

abc: 5.417 5.417 3.656
angles: 90.00 90.00 90.00
Space group P4/mmm (No. 123)
One atom of each set of equivalent atoms:
Co  0.000  0.000  0.000 x1
Rh  0.500  0.500  0.500 x1
I  0.000  0.500  0.500 x2
O  0.500  0.500  0.000 x1

**Raw formation energy**: 384 meV per atom


(7)
Compound: LiSb3
Source: Alexandria
Functional: GGA-PBEsol
Structure: optimized geometry

abc: 4.378 10.527 4.438
angles: 90.00 90.00 90.00
Space group Imm2 (No. 44)
One atom of each set of equivalent atoms:
Li  0.000  0.000  0.000 x2
Sb  0.000  0.261  0.323 x4
Sb  0.000  0.500  0.991 x2

**Raw formation energy**: -108 meV per atom


(8)
Compound: K2LaTa6Br15O3
Source: Alexandria
Functional: GGA-PBEsol
Structure: optimized geometry

abc: 9.4131 9.4131 17.7197
angles: 90.00 90.00 120.00
Space group P-31c (No. 163)
One atom of each set of equivalent atoms:
K  0.3333  0.6667  0.0332 x4
La  0.3333  0.6667  0.7500 x2
Ta  0.0158  0.1899  0.6849 x12
Br  0.0183  0.2243  0.4159 x12
Br  0.0692  0.4695  0.6131 x12
Br  0.2154  0.4308  0.2500 x6
O  0.1827  0.3655  0.7500 x6

**Raw formation energy**: -1483 meV per atom


(9)
Compound: Dy2NiIr
Source: Alexandria
Functional: GGA-PBEsol
Structure: optimized geometry

abc: 6.698 6.698 6.698
angles: 90.00 90.00 90.00
Space group Fm-3m (No. 225)
One atom of each set of equivalent atoms:
Dy  0.250  0.250  0.250 x8
Ni  0.000  0.000  0.000 x4
Ir  0.000  0.000  0.500 x4

**ΔH_f (0 K)**: -0.63 eV/atom


(10)
Compound: LiCdCoF6
Source: Alexandria
Functional: GGA-PBEsol
Structure: optimized geometry

abc: 4.9967 4.9967 9.4736
angles: 90.00 90.00 120.00
Space group P-31c (No. 163)
One atom of each set of equivalent atoms:
Li  0.3333  0.6667  0.2500 x2
Cd  0.0000  0.0000  0.0000 x2
Co  0.3333  0.6667  0.7500 x2
F  0.0226  0.3721  0.8600 x12

**Raw formation energy**: -2192 meV per atom


(11)
Compound: KRuSe2
Source: Alexandria
Functional: GGA-PBEsol
Structure: optimized geometry

abc: 3.030 3.758 8.152
angles: 90.00 90.00 90.00
Space group Pmm2 (No. 25)
One atom of each set of equivalent atoms:
K  0.000  0.000  0.000 x1
Ru  0.500  0.500  0.467 x1
Se  0.000  0.000  0.380 x1
Se  0.500  0.500  0.756 x1

**Raw formation energy**: -115 meV per atom


(12)
Compound: CuNiIr
Source: Alexandria
Functional: GGA-PBEsol
Structure: optimized geometry

abc: 4.0721 4.0721 2.5334
angles: 90.00 90.00 120.00
Space group P3m1 (No. 156)
One atom of each set of equivalent atoms:
Cu  0.0000  0.0000  0.0000 x1
Ni  0.6667  0.3333  0.0060 x1
Ir  0.3333  0.6667  0.5040 x1

**ΔH_f (0 K)**: 0.20 eV/atom